Crystalline Sr2TcHg at its relaxed geometry. Source: Alexandria, functional PBE.

**Calculated total energy**: -11.92 eV/f.u.
**M_tot**: 0.3978 μB per atom

a b c (Å): 5.971 5.971 5.971
angles (deg): 133.62 133.62 67.69
Last column: magnetic moment on the atom in μB.
Atoms (fractional coordinates):
1 Sr 0.250 0.750 0.500  -0.04
2 Sr 0.000 0.000 0.000  -0.04
3 Tc 0.500 0.500 0.000  1.70
4 Hg 0.750 0.250 0.500  -0.05